[1]
# La2Dy2Y15

La2Dy2Y15 after structural relaxation (PBE-GGA, the Alexandria database).

Values from the calculation:
Size of the total moment   1.85 μB/f.u.

extended XYZ file:
```
19
Lattice="5.704 3.293 5.874 -5.704 3.293 5.874 0.000 -6.586 5.874" Properties=species:S:1:pos:R:3 pbc="T T T"
La 0.000 0.000 3.017
La 0.000 0.000 14.604
Dy 0.000 0.000 7.111
Dy 0.000 0.000 10.509
Y -2.852 -1.647 5.874
Y 0.000 -3.388 5.398
Y -2.934 1.694 5.398
Y -1.695 -2.936 8.810
Y -3.390 0.000 8.810
Y -2.934 -1.694 12.222
Y -2.852 1.647 11.747
Y 1.695 -2.936 8.810
Y 0.000 3.293 5.874
Y -1.695 2.936 8.810
Y 2.934 1.694 5.398
Y 3.390 0.000 8.810
Y 1.695 2.936 8.810
Y 2.934 -1.694 12.222
Y 0.000 3.388 12.222
```

[2]
# La5Dy2Y12

La5Dy2Y12 after structural relaxation (PBE-GGA, the Alexandria database).

Values from the calculation:
Size of the total moment   0.00 μB/f.u.

extended XYZ file:
```
19
Lattice="6.185 -3.603 0.000 6.185 3.603 0.000 -4.833 0.000 14.485" Properties=species:S:1:pos:R:3 pbc="T T T"
La 0.000 0.000 0.000
La 0.685 0.000 7.262
La 0.663 0.000 13.055
La 6.873 0.000 1.430
La 6.851 0.000 7.223
Dy 3.768 1.796 7.242
Dy 3.768 -1.796 7.242
Y 3.527 1.732 1.580
Y -1.418 0.000 10.075
Y 1.665 1.834 10.279
Y 5.871 1.834 4.206
Y 2.777 0.000 4.447
Y 4.009 1.732 12.905
Y 3.527 -1.732 1.580
Y 4.759 0.000 10.038
Y 1.665 -1.834 10.279
Y 5.871 -1.834 4.206
Y 8.954 0.000 4.410
Y 4.009 -1.732 12.905
```

[3]
# LaDy12Y6

LaDy12Y6 after structural relaxation (PBE-GGA, the Alexandria database).

Values from the calculation:
Energy above the most stable polymorph in this dataset   0.5 kJ per mole of atoms
Size of the total moment   0.00 μB/f.u.

extended XYZ file:
```
19
Lattice="6.708 3.873 4.252 -6.708 3.873 4.252 0.000 -7.746 4.252" Properties=species:S:1:pos:R:3 pbc="T T T"
La 0.000 0.000 0.000
Dy -2.560 -4.435 6.378
Dy -5.121 0.000 6.378
Dy -1.919 -1.108 4.774
Dy 1.919 -1.108 4.774
Dy 0.000 2.215 4.774
Dy 2.560 -4.435 6.378
Dy -2.560 4.435 6.378
Dy 0.000 -2.215 7.982
Dy -1.919 1.108 7.982
Dy 1.919 1.108 7.982
Dy 5.121 0.000 6.378
Dy 2.560 4.435 6.378
Y 0.000 -4.151 4.888
Y -3.595 2.076 4.888
Y -3.595 -2.076 7.868
Y 3.595 2.076 4.888
Y 3.595 -2.076 7.868
Y 0.000 4.151 7.868
```

[4]
# La3Dy7Y

La3Dy7Y after structural relaxation (PBE-GGA, the Alexandria database).

Values from the calculation:
Energy above the most stable polymorph in this dataset   0.0 kJ per mole of atoms
Size of the total moment   0.00 μB/f.u.

extended XYZ file:
```
11
Lattice="7.021 0.000 0.000 0.000 5.565 0.000 -3.328 0.000 9.531" Properties=species:S:1:pos:R:3 pbc="T T T"
La 0.000 0.000 0.000
La 0.330 2.782 4.729
La 3.363 2.782 4.802
Dy -1.664 0.000 4.765
Dy -1.597 2.782 7.525
Dy 1.824 2.782 1.290
Dy 1.881 0.000 3.136
Dy 1.812 0.000 6.395
Dy 1.869 2.782 8.241
Dy 5.290 2.782 2.005
Y 3.511 0.000 0.000
```

[5]
# La8Dy4Y

La8Dy4Y after structural relaxation (PBE-GGA, the Alexandria database).

Values from the calculation:
Size of the total moment   0.00 μB/f.u.

extended XYZ file:
```
13
Lattice="3.618 2.089 10.078 -3.618 2.089 10.078 0.000 -4.178 10.078" Properties=species:S:1:pos:R:3 pbc="T T T"
La -1.980 -1.143 17.277
La 0.000 0.000 6.310
La 0.000 -2.287 12.957
La -1.980 1.143 12.957
La 1.980 -1.143 17.277
La 0.000 2.287 17.277
La 0.000 0.000 23.925
La 1.980 1.143 12.957
Dy 0.000 0.000 0.000
Dy -1.809 -1.045 10.078
Dy -1.809 1.045 20.156
Dy 0.000 2.089 10.078
Y 0.000 0.000 15.117
```

[6]
# La5Dy2Y

La5Dy2Y after structural relaxation (PBE-GGA, the Alexandria database).

Values from the calculation:
Energy above the most stable polymorph in this dataset   0.0 kJ per mole of atoms
Size of the total moment   0.00 μB/f.u.

extended XYZ file:
```
16
Lattice="2.843 -6.073 0.000 2.843 6.073 0.000 0.000 0.000 16.615" Properties=species:S:1:pos:R:3 pbc="T T T"
La 2.843 5.679 12.461
La 2.843 4.663 0.854
La 2.843 4.663 7.454
La 2.843 0.898 1.558
La 2.843 0.898 6.750
La 2.843 -0.898 9.866
La 2.843 -0.898 15.057
La 2.843 -4.663 9.161
La 2.843 -4.663 15.761
La 2.843 -5.679 4.154
Dy 2.843 2.756 10.564
Dy 2.843 2.756 14.359
Dy 2.843 -2.756 2.257
Dy 2.843 -2.756 6.051
Y 2.843 3.070 4.154
Y 2.843 -3.070 12.461
```

[7]
# La2DyY

La2DyY after structural relaxation (PBE-GGA, the Alexandria database).

Values from the calculation:
Energy above the most stable polymorph in this dataset   7.0 kJ per mole of atoms
Size of the total moment   0.00 μB/f.u.

extended XYZ file:
```
4
Lattice="0.000 4.114 4.114 4.114 0.000 4.114 4.114 4.114 0.000" Properties=species:S:1:pos:R:3 pbc="T T T"
La 2.057 2.057 2.057
La 6.171 6.171 6.171
Dy 0.000 0.000 0.000
Y 4.114 4.114 4.114
```

[8]
# La2DyY

La2DyY after structural relaxation (PBE-GGA, the Alexandria database).

Values from the calculation:
Energy above the most stable polymorph in this dataset   1.5 kJ per mole of atoms
Size of the total moment   0.00 μB/f.u.

extended XYZ file:
```
4
Lattice="3.702 -5.007 0.000 3.702 5.007 0.000 0.000 0.000 3.716" Properties=species:S:1:pos:R:3 pbc="T T T"
La 1.851 2.504 0.000
La 1.851 -2.504 0.000
Dy 0.000 0.000 1.858
Y 3.702 0.000 1.858
```

[9]
# La8Dy2Y

La8Dy2Y after structural relaxation (PBE-GGA, the Alexandria database).

Values from the calculation:
Energy above the most stable polymorph in this dataset   10.0 kJ per mole of atoms
Size of the total moment   0.00 μB/f.u.

extended XYZ file:
```
11
Lattice="4.647 -8.434 0.000 4.647 8.434 0.000 -3.439 0.000 5.029" Properties=species:S:1:pos:R:3 pbc="T T T"
La -0.357 2.016 3.446
La 4.647 4.953 0.000
La -0.357 -2.016 3.446
La 3.230 0.000 1.011
La 2.625 0.000 4.018
La 6.212 2.016 1.583
La 4.647 -4.953 0.000
La 6.212 -2.016 1.583
Dy 2.928 3.177 2.514
Dy 2.928 -3.177 2.514
Y 0.000 0.000 0.000
```

[10]
# La2Dy3Y4

La2Dy3Y4 after structural relaxation (PBE-GGA, the Alexandria database).

Values from the calculation:
Energy above the most stable polymorph in this dataset   3.2 kJ per mole of atoms
Size of the total moment   0.00 μB/f.u.

extended XYZ file:
```
9
Lattice="8.205 -1.776 0.000 8.205 1.776 0.000 -5.992 0.000 10.222" Properties=species:S:1:pos:R:3 pbc="T T T"
La 1.401 0.000 0.663
La 9.017 0.000 9.559
Dy -2.996 0.000 5.111
Dy 3.107 0.000 7.398
Dy 7.310 0.000 2.824
Y -2.142 0.000 8.536
Y 2.203 0.000 3.990
Y 8.215 0.000 6.232
Y 12.560 0.000 1.686
```

[11]
# La5Dy2Y

La5Dy2Y after structural relaxation (PBE-GGA, the Alexandria database).

Values from the calculation:
Energy above the most stable polymorph in this dataset   17.6 kJ per mole of atoms
Size of the total moment   0.00 μB/f.u.

extended XYZ file:
```
16
Lattice="4.429 -10.804 0.000 4.429 10.804 0.000 -2.351 0.000 6.169" Properties=species:S:1:pos:R:3 pbc="T T T"
La -0.143 2.360 5.234
La 2.666 7.341 4.627
La 2.382 3.463 2.864
La 1.033 -2.360 2.149
La 5.301 3.463 0.221
La 1.206 -3.463 5.948
La 5.474 2.360 4.021
La 4.126 -3.463 3.306
La 3.841 -7.341 1.542
La 6.650 -2.360 0.936
Dy 0.000 0.000 0.000
Dy -1.176 0.000 3.085
Dy 2.215 5.402 0.000
Dy 1.039 -5.402 3.085
Y 2.666 0.023 4.627
Y 3.841 -0.023 1.542
```

[12]
# La8Dy2Y3

La8Dy2Y3 after structural relaxation (PBE-GGA, the Alexandria database).

Values from the calculation:
Energy above the most stable polymorph in this dataset   2.5 kJ per mole of atoms
Size of the total moment   0.00 μB/f.u.

extended XYZ file:
```
13
Lattice="10.321 -3.878 0.000 10.321 3.878 0.000 -0.002 0.000 5.851" Properties=species:S:1:pos:R:3 pbc="T T T"
La 8.136 2.328 5.850
La 3.614 0.000 2.930
La 12.504 2.328 0.001
La 7.590 0.000 2.928
La 13.050 0.000 2.923
La 8.136 -2.328 5.850
La 17.026 0.000 2.921
La 12.504 -2.328 0.001
Dy 5.366 0.000 0.006
Dy 15.274 0.000 5.845
Y 10.320 2.189 2.925
Y 10.321 0.000 0.000
Y 10.320 -2.189 2.925
```

[13]
# LaDy2Y

LaDy2Y after structural relaxation (PBE-GGA, the Alexandria database).

Values from the calculation:
Energy above the most stable polymorph in this dataset   11.3 kJ per mole of atoms
Size of the total moment   0.01 μB/f.u.

extended XYZ file:
```
4
Lattice="0.000 4.064 4.064 4.064 0.000 4.064 4.064 4.064 0.000" Properties=species:S:1:pos:R:3 pbc="T T T"
La 0.000 0.000 0.000
Dy 2.032 2.032 2.032
Dy 6.095 6.095 6.095
Y 4.064 4.064 4.064
```

[14]
# La3Dy6Y

La3Dy6Y after structural relaxation (PBE-GGA, the Alexandria database).

Values from the calculation:
Energy above the most stable polymorph in this dataset   12.6 kJ per mole of atoms
Size of the total moment   0.00 μB/f.u.

extended XYZ file:
```
10
Lattice="4.977 2.873 3.892 -4.977 2.873 3.892 0.000 -5.747 3.892" Properties=species:S:1:pos:R:3 pbc="T T T"
La 0.000 0.000 0.000
La 0.000 0.000 2.891
La 0.000 0.000 8.785
Dy -1.746 -2.843 4.849
Dy -3.335 0.091 6.827
Dy -1.589 2.934 4.849
Dy 1.589 -2.934 6.827
Dy 3.335 -0.091 4.849
Dy 1.746 2.843 6.827
Y 0.000 0.000 5.838
```

[15]
# LaDy2Y5

LaDy2Y5 after structural relaxation (PBE-GGA, the Alexandria database).

Values from the calculation:
Energy above the most stable polymorph in this dataset   0.0 kJ per mole of atoms
Size of the total moment   0.00 μB/f.u.

extended XYZ file:
```
32
Lattice="7.179 0.000 0.000 0.000 20.230 0.000 0.000 0.000 7.183" Properties=species:S:1:pos:R:3 pbc="T T T"
La 1.781 2.517 0.000
La 1.809 12.632 0.000
La 5.370 7.598 0.000
La 5.398 17.712 0.000
Dy 0.000 0.000 1.817
Dy 0.000 0.000 5.366
Dy 1.789 2.524 3.591
Dy 1.801 12.639 3.591
Dy 3.590 10.115 1.817
Dy 3.590 10.115 5.366
Dy 5.378 7.591 3.591
Dy 5.390 17.706 3.591
Y 0.001 5.066 1.815
Y 0.001 5.066 5.368
Y 0.000 10.115 1.816
Y 0.000 10.115 5.367
Y 7.178 15.164 1.815
Y 7.178 15.164 5.368
Y 1.786 17.708 0.000
Y 1.785 17.706 3.591
Y 1.803 7.593 0.000
Y 1.805 7.591 3.591
Y 3.590 0.000 1.816
Y 3.590 0.000 5.367
Y 3.590 5.049 1.815
Y 3.590 5.049 5.368
Y 3.589 15.180 1.815
Y 3.589 15.180 5.368
Y 5.376 12.636 0.000
Y 5.374 12.638 3.591
Y 5.393 2.521 0.000
Y 5.395 2.524 3.591
```

[16]
# La2Dy8Y3

La2Dy8Y3 after structural relaxation (PBE-GGA, the Alexandria database).

Values from the calculation:
Size of the total moment   0.00 μB/f.u.

extended XYZ file:
```
13
Lattice="7.642 0.000 0.000 0.000 5.519 0.000 -3.816 0.000 10.590" Properties=species:S:1:pos:R:3 pbc="T T T"
La 0.000 0.000 5.092
La 3.826 0.000 5.498
Dy 0.001 2.759 2.664
Dy -1.616 0.000 8.352
Dy 0.006 2.759 7.224
Dy 2.197 0.000 2.239
Dy 1.629 0.000 8.351
Dy 3.820 2.759 3.366
Dy 5.443 0.000 2.238
Dy 3.825 2.759 7.926
Y 0.000 0.000 0.000
Y -1.616 2.759 10.588
Y 5.442 2.759 0.002
```

[17]
# La6Dy5Y

La6Dy5Y after structural relaxation (PBE-GGA, the Alexandria database).

Values from the calculation:
Size of the total moment   0.00 μB/f.u.

extended XYZ file:
```
12
Lattice="8.930 -3.705 0.000 8.930 3.705 0.000 -0.270 0.000 6.217" Properties=species:S:1:pos:R:3 pbc="T T T"
La 5.855 1.859 2.073
La 8.930 1.866 0.000
La 11.735 1.859 4.143
La 5.855 -1.859 2.073
La 8.930 -1.866 0.000
La 11.735 -1.859 4.143
Dy -0.135 0.000 3.108
Dy 2.931 0.000 1.036
Dy 5.729 0.000 5.187
Dy 11.861 0.000 1.030
Dy 14.659 0.000 5.180
Y 8.795 0.000 3.108
```

[18]
# La2Dy2Y5

La2Dy2Y5 after structural relaxation (PBE-GGA, the Alexandria database).

Values from the calculation:
Energy above the most stable polymorph in this dataset   0.0 kJ per mole of atoms
Size of the total moment   0.00 μB/f.u.

extended XYZ file:
```
18
Lattice="-7.514 5.984 3.398 7.514 -5.984 3.398 7.514 5.984 -3.398" Properties=species:S:1:pos:R:3 pbc="T T T"
La 0.000 0.000 0.000
La 7.514 0.000 0.000
La 11.271 -0.079 0.624
La 3.757 0.079 0.624
Dy 1.902 -0.037 3.726
Dy 5.613 -0.037 3.726
Dy 1.902 6.021 0.328
Dy 5.613 6.021 0.328
Y 2.135 2.798 -0.755
Y 5.379 2.798 -0.755
Y 3.757 -2.910 2.655
Y -0.801 2.896 1.314
Y 8.315 2.896 1.314
Y 3.757 8.895 -0.742
Y 2.135 3.186 2.642
Y 5.379 3.186 2.642
Y 0.801 9.073 1.314
Y -0.801 3.088 4.712
```

[19]
# LaDy12Y7

LaDy12Y7 after structural relaxation (PBE-GGA, the Alexandria database).

Values from the calculation:
Energy above the most stable polymorph in this dataset   0.0 kJ per mole of atoms
Size of the total moment   0.00 μB/f.u.

extended XYZ file:
```
20
Lattice="6.019 3.475 5.306 -6.019 3.475 5.306 0.000 -6.951 5.306" Properties=species:S:1:pos:R:3 pbc="T T T"
La 0.000 0.000 0.000
Dy -1.969 -0.543 4.687
Dy -0.734 -3.244 7.148
Dy -3.176 -0.986 8.771
Dy 1.455 -1.434 4.687
Dy -2.442 2.258 7.148
Dy 0.514 1.977 4.687
Dy -0.514 -1.977 11.231
Dy 2.442 -2.258 8.771
Dy -1.455 1.434 11.231
Dy 3.176 0.986 7.148
Dy 0.734 3.244 8.771
Dy 1.969 0.543 11.231
Y -5.256 0.489 6.616
Y -3.051 -4.308 9.302
Y 2.205 -4.796 6.616
Y 0.000 0.000 7.959
Y -2.205 4.796 9.302
Y 3.051 4.308 6.616
Y 5.256 -0.489 9.302
```

Number 1: ΔE_f 5.3 eV per formula unit. Number 2: ΔE_f 2.0 eV per formula unit. Number 3: ΔE_f 8.3 eV per formula unit. Number 4: ΔE_f 1.6 eV per formula unit. Number 5: ΔE_f 2.2 eV per formula unit. Number 6: ΔE_f 1.0 eV per formula unit. Number 7: ΔE_f 0.3 eV per formula unit. Number 8: ΔE_f 0.1 eV per formula unit. Number 9: ΔE_f 1.4 eV per formula unit. Number 10: ΔE_f 0.6 eV per formula unit. Number 11: ΔE_f 2.4 eV per formula unit. Number 12: ΔE_f 2.3 eV per formula unit. Number 13: ΔE_f 0.5 eV per formula unit. Number 14: ΔE_f 2.8 eV per formula unit. Number 15: ΔE_f 0.2 eV per formula unit. Number 16: ΔE_f 3.1 eV per formula unit. Number 17: ΔE_f 0.3 eV per formula unit. Number 18: ΔE_f 2.0 eV per formula unit. Number 19: ΔE_f 4.9 eV per formula unit.